First-principles (PBEsol) data for a geometry-optimized Tl3HgPd structure, as listed in Alexandria.

ΔH_f (0 K): 0.024 eV/atom

Lattice parameters (Å, degrees): 5.233 5.233 5.233 90.00 90.00 90.00
Atoms (fractional coordinates):
Tl: 0.000 0.000 0.500
Tl: 0.000 0.500 0.000
Tl: 0.500 0.000 0.000
Hg: 0.500 0.500 0.500
Pd: 0.000 0.000 0.000



First-principles (PBEsol) data for a geometry-optimized Sb3Rh structure, as listed in Alexandria.

excess energy over the best structure of this formula in the dataset: 340 meV/atom
E_form (uncorrected): -0.07 eV/atom

Lattice parameters (Å, degrees): 3.113 3.177 9.396 90.00 90.00 90.00
Atoms (fractional coordinates):
Sb: 0.000 0.000 0.000
Sb: 0.000 0.500 0.306
Sb: 0.500 0.500 0.695
Rh: 0.500 0.000 0.467



First-principles (PBEsol) data for a geometry-optimized As2Pt structure, as listed in Alexandria.

ΔH_f (0 K): -0.551 eV/atom

Lattice parameters (Å, degrees): 5.981 5.981 5.981 90.00 90.00 90.00
Atoms (fractional coordinates):
As: 0.117 0.117 0.117
As: 0.117 0.383 0.617
As: 0.383 0.617 0.117
As: 0.383 0.883 0.617
As: 0.617 0.117 0.383
As: 0.617 0.383 0.883
As: 0.883 0.617 0.383
As: 0.883 0.883 0.883
Pt: 0.000 0.000 0.500
Pt: 0.000 0.500 0.000
Pt: 0.500 0.000 0.000
Pt: 0.500 0.500 0.500



First-principles (PBEsol) data for a geometry-optimized Cs2LiPrBr6 structure, as listed in Alexandria.

E_form (uncorrected): -1.80 eV/atom

Lattice parameters (Å, degrees): 7.854 7.854 7.854 60.00 60.00 60.00
Atoms (fractional coordinates):
Cs: 0.250 0.250 0.250
Cs: 0.750 0.750 0.750
Li: 0.000 0.000 0.000
Pr: 0.500 0.500 0.500
Br: 0.242 0.242 0.758
Br: 0.242 0.758 0.242
Br: 0.242 0.758 0.758
Br: 0.758 0.242 0.242
Br: 0.758 0.242 0.758
Br: 0.758 0.758 0.242



First-principles (PBEsol) data for a geometry-optimized Te2PAu structure, as listed in Alexandria.

E_form (uncorrected): 0.05 eV/atom

Lattice parameters (Å, degrees): 4.008 4.008 5.620 90.00 90.00 90.00
Atoms (fractional coordinates):
Te: 0.000 0.000 0.000
Te: 0.500 0.500 0.500
P: 0.000 0.000 0.500
Au: 0.500 0.500 0.000



First-principles (PBEsol) data for a geometry-optimized LiSbS structure, as listed in Alexandria.

excess energy over the best structure of this formula in the dataset: 0 meV/atom
E_form (uncorrected): -0.72 eV/atom

Lattice parameters (Å, degrees): 4.354 4.407 7.063 89.75 90.00 89.96
Atoms (fractional coordinates):
Li: 0.000 0.000 0.000
Li: 0.500 0.496 0.995
Sb: 0.000 0.474 0.495
Sb: 0.501 0.025 0.500
S: 0.000 0.499 0.150
S: 0.500 0.997 0.846



First-principles (PBEsol) data for a geometry-optimized Re5Ni24 structure, as listed in Alexandria.

ΔH_f (0 K): 0.019 eV/atom

Lattice parameters (Å, degrees): 7.453 7.453 7.453 109.47 109.47 109.47
Atoms (fractional coordinates):
Re: 0.000 0.000 0.000
Re: 0.000 0.000 0.357
Re: 0.000 0.357 0.000
Re: 0.357 0.000 0.000
Re: 0.643 0.643 0.643
Ni: 0.000 0.317 0.590
Ni: 0.000 0.590 0.317
Ni: 0.000 0.622 0.810
Ni: 0.000 0.810 0.622
Ni: 0.188 0.378 0.378
Ni: 0.190 0.190 0.812
Ni: 0.190 0.812 0.190
Ni: 0.274 0.683 0.683
Ni: 0.317 0.000 0.590
Ni: 0.317 0.590 0.000
Ni: 0.378 0.188 0.378
Ni: 0.378 0.378 0.188
Ni: 0.410 0.410 0.726
Ni: 0.410 0.726 0.410
Ni: 0.590 0.000 0.317
Ni: 0.590 0.317 0.000
Ni: 0.622 0.000 0.810
Ni: 0.622 0.810 0.000
Ni: 0.683 0.274 0.683
Ni: 0.683 0.683 0.274
Ni: 0.726 0.410 0.410
Ni: 0.810 0.000 0.622
Ni: 0.810 0.622 0.000
Ni: 0.812 0.190 0.190



First-principles (PBEsol) data for a geometry-optimized YMgSi2 structure, as listed in Alexandria.

E_form (uncorrected): -0.40 eV/atom

Lattice parameters (Å, degrees): 4.323 4.323 3.996 90.00 90.00 90.00
Atoms (fractional coordinates):
Y: 0.000 0.000 0.000
Mg: 0.500 0.500 0.000
Si: 0.000 0.500 0.500
Si: 0.500 0.000 0.500



First-principles (PBEsol) data for a geometry-optimized Ta2FeS4 structure, as listed in Alexandria.

E_form (uncorrected): -0.98 eV/atom

Lattice parameters (Å, degrees): 3.287 3.287 11.820 90.00 90.00 120.00
Atoms (fractional coordinates):
Ta: 0.000 0.000 0.238
Ta: 0.000 0.000 0.762
Fe: 0.000 0.000 0.000
S: 0.333 0.667 0.630
S: 0.333 0.667 0.899
S: 0.667 0.333 0.101
S: 0.667 0.333 0.370



First-principles (PBEsol) data for a geometry-optimized Na5SbO5 structure, as listed in Alexandria.

E_form (uncorrected): -1.55 eV/atom

Lattice parameters (Å, degrees): 5.826 5.826 6.410 107.23 107.23 44.46
Atoms (fractional coordinates):
Na: 0.000 0.000 0.000
Na: 0.302 0.302 0.177
Na: 0.321 0.321 0.643
Na: 0.679 0.679 0.357
Na: 0.698 0.698 0.823
Sb: 0.000 0.000 0.500
O: 0.132 0.132 0.344
O: 0.144 0.144 0.793
O: 0.500 0.500 0.500
O: 0.856 0.856 0.207
O: 0.868 0.868 0.656